# 1
VASP calculation (PBE) on an optimized crystal structure of MgRe4.

The excess energy over the best structure of this formula in the dataset comes out at 0.65 eV per formula unit. As for the density: 13.64 Mg/m³. The calculation puts the calculated volume at 187 Å³ per cell. The formation energy is 0.399 eV per atom.

CIF file:
```
data_MgRe4
_cell_length_a 4.193
_cell_length_b 4.193
_cell_length_c 10.650
_cell_angle_alpha 90.00
_cell_angle_beta 90.00
_cell_angle_gamma 90.00
_space_group_name_H-M_alt 'I 4/m m m'
_space_group_IT_number 139
_space_group_name_Hall '-I 4 2'
loop_
_atom_site_label
_atom_site_type_symbol
_atom_site_fract_x
_atom_site_fract_y
_atom_site_fract_z
Mg1 Mg 0.000 0.000 0.000
Re1 Re 0.000 0.000 0.382
Re2 Re 0.000 0.500 0.250
```

=====

# 2
VASP calculation (PBE) on an optimized crystal structure of MgRe2.

The excess energy over the best structure of this formula in the dataset comes out at 5.13 eV per formula unit. As for the density: 12.57 Mg/m³. The calculation puts the calculated volume at 210 Å³ per cell. The formation energy is 1.826 eV per atom.

CIF file:
```
data_MgRe2
_cell_length_a 5.941
_cell_length_b 5.941
_cell_length_c 5.941
_cell_angle_alpha 90.00
_cell_angle_beta 90.00
_cell_angle_gamma 90.00
_space_group_name_H-M_alt 'F m -3 m'
_space_group_IT_number 225
_space_group_name_Hall '-F 4 2 3'
loop_
_atom_site_label
_atom_site_type_symbol
_atom_site_fract_x
_atom_site_fract_y
_atom_site_fract_z
Mg1 Mg 0.000 0.000 0.000
Re1 Re 0.250 0.250 0.250
```

=====

# 3
VASP calculation (PBE) on an optimized crystal structure of Mg2Re.

The excess energy over the best structure of this formula in the dataset comes out at 0.75 eV per formula unit. As for the density: 5.98 Mg/m³. The calculation puts the calculated volume at 65 Å³ per cell. The formation energy is 0.476 eV per atom.

CIF file:
```
data_Mg2Re
_cell_length_a 4.965
_cell_length_b 4.965
_cell_length_c 2.643
_cell_angle_alpha 90.00
_cell_angle_beta 90.00
_cell_angle_gamma 90.00
_space_group_name_H-M_alt 'P 4/m m m'
_space_group_IT_number 123
_space_group_name_Hall '-P 4 2'
loop_
_atom_site_label
_atom_site_type_symbol
_atom_site_fract_x
_atom_site_fract_y
_atom_site_fract_z
Mg1 Mg 0.000 0.500 0.000
Re1 Re 0.000 0.000 0.500
```

=====

Question: Look up the calculated volume of the second one.
Answer: 210 Å³ per cell